DFT (PBE+U) results for a relaxed structure of PuFeCo2O8.

```
PuFeCo2O8
1.0
5.6855 0.4770 0.0000
-2.0942 5.3073 0.0000
-1.7957 -2.8921 4.5787
O Co Fe Pu
8 2 1 1
direct
0.9069 0.7071 0.1998
0.9385 0.2424 0.3039
0.7576 0.0615 0.6961
0.2929 0.0931 0.8002
0.3654 0.0615 0.3039
0.2929 0.4927 0.1998
0.9385 0.6346 0.6961
0.5073 0.7071 0.8002
0.5000 0.5000 0.0000
0.7500 0.2500 0.5000
0.0000 0.0000 0.0000
0.2500 0.7500 0.5000
```

final energy: -7.0771 eV/atom
total magnetization: 10.2 μB/cell
crystal system: tetragonal
symmetry: No. 119